VSbF2 after structural relaxation. Source: Alexandria, functional PBE+U.

a = 4.550 Å, b = 4.550 Å, c = 4.550 Å
α = 60.00°, β = 60.00°, γ = 60.00°
Fractional positions:
V 0.000 0.000 0.000
F 0.750 0.750 0.750
Sb 0.500 0.500 0.500
F 0.250 0.250 0.250

Computed properties:
volume: 16.65 Å³ per atom
total moment: 4.18 μB per formula unit
Fermi-level density of states: 3.77 states/eV/f.u.
E above lowest polymorph: 1177 meV/atom
calculated total energy: -4.362 eV/atom